Below is an optimized crystal structure of Li2HgO2, with properties calculated at the PBE level.

Structure (POSCAR):
```
Li2HgO2
1.0
1.656 -8.205 0.000
1.656 8.205 0.000
0.000 0.000 4.748
Li Hg O
4 2 4
Cartesian
1.656 6.373 2.374
1.656 3.834 2.434
1.656 -3.834 0.060
1.656 -6.373 0.000
1.656 1.230 2.089
1.656 -1.230 4.463
1.656 5.141 3.963
1.656 1.061 4.364
1.656 -1.061 1.989
1.656 -5.141 1.589
```

Mass density   6.3 g/cm³
Symmetry   Cmc2_1 (36)
M_tot   0.00 μB per formula unit
Total DFT energy (no corrections)   -0.2856 Ry/atom
Fermi-level density of states   1.24 states/eV/f.u.
E_form (uncorrected)   -5.38 eV per formula unit
ΔE to the lowest computed polymorph   143 meV/atom

---

Below is an optimized crystal structure of YTi2Os, with properties calculated at the PBE level.

Structure (POSCAR):
```
YTi2Os
1.0
7.603 0.000 0.000
0.000 7.603 0.000
0.000 0.000 5.815
Y Ti Os
4 8 4
Cartesian
0.000 0.000 0.000
0.000 3.801 1.454
3.801 0.000 4.361
3.801 3.801 2.908
1.406 1.901 3.634
1.901 5.207 5.088
1.901 6.197 2.181
2.396 1.901 0.727
5.207 5.702 0.727
5.702 1.406 2.181
5.702 2.396 5.088
6.197 5.702 3.634
0.000 0.000 2.908
0.000 3.801 4.361
3.801 0.000 1.454
3.801 3.801 0.000
```

Mass density   7.4 g/cm³
Symmetry   I-42d (122)
M_tot   0.00 μB per formula unit
Total DFT energy (no corrections)   -0.6057 Ry/atom
Fermi-level density of states   5.51 states/eV/f.u.
Energy of formation   0.13 eV/atom
ΔE to the lowest computed polymorph   138 meV/atom

---

Below is an optimized crystal structure of NaSr3V, with properties calculated at the PBE level.

Structure (POSCAR):
```
NaSr3V
1.0
6.263 0.000 0.000
0.000 6.263 0.000
0.000 0.000 6.263
Na Sr V
1 3 1
Cartesian
0.000 0.000 0.000
0.000 0.000 3.132
0.000 3.132 0.000
3.132 0.000 0.000
3.132 3.132 3.132
```

Mass density   2.3 g/cm³
Symmetry   Pm-3m (221)
M_tot   4.50 μB per formula unit
Total DFT energy (no corrections)   -0.1560 Ry/atom
Fermi-level density of states   8.55 states/eV/f.u.
Energy of formation   0.97 eV/atom
ΔE to the lowest computed polymorph   426 meV/atom

---

Below is an optimized crystal structure of ZnSiPt2, with properties calculated at the PBE level.

Structure (POSCAR):
```
ZnSiPt2
1.0
2.893 0.000 0.000
0.000 3.863 0.000
-1.325 0.000 5.396
Zn Si Pt
1 1 2
Cartesian
0.000 0.000 0.000
-0.663 0.000 2.698
0.026 1.931 3.991
1.542 1.931 1.405
```

Mass density   13.3 g/cm³
Symmetry   P2/m (10)
M_tot   0.00 μB per formula unit
Total DFT energy (no corrections)   -0.3743 Ry/atom
Fermi-level density of states   2.03 states/eV/f.u.
E_form (uncorrected)   -1.59 eV per formula unit

---

Below is an optimized crystal structure of Rb3Ag2Br5Cl2, with properties calculated at the PBE level.

Structure (POSCAR):
```
Rb3Ag2Br5Cl2
1.0
-2.725 2.725 13.480
2.725 -2.725 13.480
2.725 2.725 -13.480
Rb Ag Br Cl
3 2 5 2
Cartesian
0.000 0.000 0.000
0.000 0.000 4.941
0.000 0.000 22.019
0.000 0.000 10.765
0.000 0.000 16.195
2.725 0.000 2.568
2.725 0.000 10.912
0.000 0.000 13.480
0.000 2.725 2.568
0.000 2.725 10.912
0.000 0.000 8.194
0.000 0.000 18.766
```

Mass density   3.9 g/cm³
Symmetry   I4/mmm (139)
M_tot   0.00 μB per formula unit
Total DFT energy (no corrections)   -0.2045 Ry/atom
Fermi-level density of states   3.82 states/eV/f.u.
E_form (uncorrected)   -12.73 eV per formula unit

---

Below is an optimized crystal structure of KTaIn2, with properties calculated at the PBE level.

Structure (POSCAR):
```
KTaIn2
1.0
3.048 0.000 0.000
0.000 4.729 0.000
0.000 0.000 8.603
K Ta In
1 1 2
Cartesian
0.000 0.000 0.000
1.524 2.364 3.001
0.000 0.000 3.682
1.524 2.364 5.874
```

Mass density   6.0 g/cm³
Symmetry   Pmm2 (25)
M_tot   0.00 μB per formula unit
Total DFT energy (no corrections)   -0.2960 Ry/atom
Fermi-level density of states   4.75 states/eV/f.u.
Energy of formation   0.58 eV/atom
ΔE to the lowest computed polymorph   343 meV/atom

---

Below is an optimized crystal structure of TbPm5Ho8, with properties calculated at the PBE level.

Structure (POSCAR):
```
TbPm5Ho8
1.0
-4.792 4.792 5.047
4.792 -4.792 5.047
4.792 4.792 -5.047
Tb Pm Ho
1 5 8
Cartesian
0.000 0.000 0.000
5.850 2.047 -1.731
4.792 0.000 2.524
2.047 3.734 1.731
-1.058 2.745 3.316
2.745 1.058 6.778
3.110 0.831 0.027
3.117 4.110 -1.565
3.961 -1.682 5.021
1.675 0.682 3.482
5.474 3.117 1.565
0.831 6.474 -0.027
-0.682 1.675 6.612
1.682 3.961 5.074
```

Mass density   7.9 g/cm³
Symmetry   I-4 (82)
M_tot   0.00 μB per formula unit
Total DFT energy (no corrections)   -0.3235 Ry/atom
Fermi-level density of states   19.55 states/eV/f.u.
Energy of formation   0.24 eV/atom

---

Below is an optimized crystal structure of ZnP2SeS, with properties calculated at the PBE level.

Structure (POSCAR):
```
ZnP2SeS
1.0
4.718 0.000 0.000
0.000 4.718 0.000
0.000 0.000 4.474
Zn P Se S
1 2 1 1
Cartesian
0.000 0.000 0.000
0.000 2.359 0.000
2.359 0.000 0.000
2.359 2.359 2.237
0.000 0.000 2.237
```

Mass density   4.0 g/cm³
Symmetry   P4/mmm (123)
M_tot   0.00 μB per formula unit
Total DFT energy (no corrections)   -0.2192 Ry/atom
Fermi-level density of states   4.77 states/eV/f.u.
E_form (uncorrected)   4.79 eV per formula unit
ΔE to the lowest computed polymorph   0 meV/atom

---

Below is an optimized crystal structure of Cs2KBrF, with properties calculated at the PBE level.

Structure (POSCAR):
```
Cs2KBrF
1.0
6.396 0.000 0.000
0.000 6.396 0.000
0.000 0.000 5.240
Cs K Br F
2 1 1 1
Cartesian
0.000 3.198 0.000
3.198 0.000 0.000
0.000 0.000 2.620
3.198 3.198 2.620
0.000 0.000 0.000
```

Mass density   3.1 g/cm³
Symmetry   P4/mmm (123)
M_tot   0.00 μB per formula unit
Total DFT energy (no corrections)   -0.2099 Ry/atom
Fermi-level density of states   1.49 states/eV/f.u.
E_form (uncorrected)   -7.93 eV per formula unit

---

Below is an optimized crystal structure of AlFe3H, with properties calculated at the PBE level.

Structure (POSCAR):
```
AlFe3H
1.0
4.288 -1.296 0.000
4.288 1.296 0.000
-3.525 0.000 8.890
Al Fe H
2 6 2
Cartesian
1.165 0.000 0.657
3.887 0.000 8.233
-0.277 0.000 3.669
-0.826 0.000 6.091
3.526 0.000 1.565
1.526 0.000 7.326
5.878 0.000 2.800
5.328 0.000 5.221
2.789 0.000 3.267
2.262 0.000 5.623
```

Mass density   6.6 g/cm³
Symmetry   C2/m (12)
M_tot   2.02 μB per formula unit
Total DFT energy (no corrections)   -0.4765 Ry/atom
Fermi-level density of states   3.76 states/eV/f.u.
ΔE to the lowest computed polymorph   188 meV/atom

---

Below is an optimized crystal structure of LaMg4Ge2, with properties calculated at the PBE level.

Structure (POSCAR):
```
LaMg4Ge2
1.0
8.546 0.000 0.000
0.000 8.546 0.000
0.000 0.000 4.320
La Mg Ge
2 8 4
Cartesian
0.000 0.000 0.000
4.273 4.273 2.160
0.793 2.907 2.160
1.365 5.066 0.000
2.907 0.793 2.160
3.479 7.180 0.000
5.066 1.365 0.000
5.638 7.752 2.160
7.180 3.479 0.000
7.752 5.638 2.160
1.722 6.824 2.160
2.551 2.551 0.000
5.995 5.995 0.000
6.824 1.722 2.160
```

Mass density   4.0 g/cm³
Symmetry   P4_2/mnm (136)
M_tot   0.00 μB per formula unit
Total DFT energy (no corrections)   -0.2453 Ry/atom
Fermi-level density of states   2.15 states/eV/f.u.
Energy of formation   -0.40 eV/atom

---

Below is an optimized crystal structure of CaPrGdAl, with properties calculated at the PBE level.

Structure (POSCAR):
```
CaPrGdAl
1.0
7.758 0.000 0.000
0.000 7.758 0.000
0.000 0.000 7.758
Ca Pr Gd Al
4 4 4 4
Cartesian
0.000 0.000 0.000
0.000 3.879 3.879
3.879 0.000 3.879
3.879 3.879 0.000
1.939 1.939 5.818
1.939 5.818 1.939
5.818 1.939 1.939
5.818 5.818 5.818
1.939 1.939 1.939
1.939 5.818 5.818
5.818 1.939 5.818
5.818 5.818 1.939
0.000 0.000 3.879
0.000 3.879 0.000
3.879 0.000 0.000
3.879 3.879 3.879
```

Mass density   5.2 g/cm³
Symmetry   F-43m (216)
M_tot   7.26 μB per formula unit
Total DFT energy (no corrections)   -0.4575 Ry/atom
Fermi-level density of states   4.45 states/eV/f.u.
Energy of formation   -0.07 eV/atom